The following is a PBE calculation of a relaxed structure of LiCrAu2, from the Alexandria database.

crystal system = cubic
total magnetic moment = 4.313 Bohr magnetons per cell
total DFT energy (no corrections) = -4.564 eV/atom

abc: 4.557 4.557 4.557
angles: 60.00 60.00 60.00
Each line ends with the local moment (μB).
Fractional coordinates of all 4 atoms:
1 Au 0.250 0.250 0.250  0.06
2 Au 0.000 0.000 0.000  0.00
3 Li 0.750 0.750 0.750  0.03
4 Cr 0.500 0.500 0.500  3.75


The following is a PBE calculation of a relaxed structure of LiCr2Au, from the Alexandria database.

crystal system = tetragonal
total magnetic moment = 0.000 Bohr magnetons per cell
total DFT energy (no corrections) = -5.866 eV/atom

abc: 5.014 5.014 5.014
angles: 140.13 140.13 57.66
Fractional coordinates of all 4 atoms:
1 Cr 0.000 0.000 0.000
2 Au 0.750 0.250 0.500
3 Li 0.250 0.750 0.500
4 Cr 0.500 0.500 0.000


The following is a PBE calculation of a relaxed structure of LiCrAu2, from the Alexandria database.

crystal system = orthorhombic
total magnetic moment = 4.005 Bohr magnetons per cell
total DFT energy (no corrections) = -4.716 eV/atom

abc: 4.555 4.555 3.146
angles: 90.00 90.00 90.22
Each line ends with the local moment (μB).
Fractional coordinates of all 4 atoms:
1 Cr 0.500 0.000 0.500  3.52
2 Au 0.000 0.000 0.000  0.08
3 Li 0.000 0.500 0.500  -0.01
4 Au 0.500 0.500 0.000  0.08


The following is a PBE calculation of a relaxed structure of LiCrAu2, from the Alexandria database.

crystal system = trigonal
total magnetic moment = 3.986 Bohr magnetons per cell
total DFT energy (no corrections) = -4.476 eV/atom

abc: 8.854 8.854 8.854
angles: 19.46 19.46 19.46
Each line ends with the local moment (μB).
Fractional coordinates of all 4 atoms:
1 Au 0.499 0.499 0.499  0.04
2 Au 0.001 0.001 0.001  0.04
3 Li 0.750 0.750 0.750  0.01
4 Cr 0.250 0.250 0.250  3.51


The following is a PBE calculation of a relaxed structure of Li3CrAu, from the Alexandria database.

crystal system = cubic
total magnetic moment = 4.967 Bohr magnetons per cell
excess energy over the best structure of this formula in the dataset = 0 meV per atom
total DFT energy (no corrections) = -3.412 eV/atom

abc: 4.807 4.807 4.807
angles: 90.00 90.00 90.00
Each line ends with the local moment (μB).
Fractional coordinates of all 5 atoms:
1 Li 0.000 0.000 0.500  0.00
2 Li 0.500 0.000 0.000  -0.01
3 Cr 0.500 0.500 0.500  4.20
4 Li 0.000 0.500 0.000  0.00
5 Au 0.000 0.000 0.000  0.03


The following is a PBE calculation of a relaxed structure of LiCr2Au, from the Alexandria database.

crystal system = monoclinic
total magnetic moment = 0.028 Bohr magnetons per cell
total DFT energy (no corrections) = -5.744 eV/atom

abc: 4.566 5.242 2.580
angles: 81.15 77.76 112.54
Fractional coordinates of all 4 atoms:
1 Cr 0.500 0.000 0.500
2 Li 0.000 0.500 0.500
3 Au 0.500 0.500 0.000
4 Cr 0.000 0.000 0.000


Formation enthalpy at 0 K across the listed records, respectively: -0.041; 0.243; -0.193; 0.047; 0.316; 0.366 eV per atom.